[1]
DFT (PBE) results for an optimized crystal structure of YbAl8Cu4.

As for the formation energy: -0.298 eV per atom.

The space group is I4/mmm (No. 139) and the conventional cell measures 8.833, 8.833 and 5.121 Å, with angles of 90.00, 90.00 and 90.00 degrees. Symmetry generates all atoms from Yb at (0.000, 0.000, 0.000), Al at (0.000, 0.218, 0.500), Al at (0.000, 0.347, 0.000) and Cu at (0.250, 0.250, 0.250).

---

[2]
DFT (PBE) results for an optimized crystal structure of Er4Th3Sc2.

As for the formation energy: 0.132 eV per atom. The energy above the lowest structure with this stoichiometry comes out at 0.033 eV per atom.

The space group is C2/c (No. 15) and the conventional cell measures 15.959, 11.411 and 5.924 Å, with angles of 90.00, 98.09 and 90.00 degrees. Symmetry generates all atoms from Er at (0.056, 0.128, 0.027), Er at (0.216, 0.379, 0.874), Th at (0.000, 0.380, 0.750), Th at (0.171, 0.127, 0.573) and Sc at (0.107, 0.373, 0.307).

---

[3]
DFT (PBE) results for an optimized crystal structure of TcRu3Se.

The energy above the lowest structure with this stoichiometry comes out at 0.000 eV per atom. For the raw formation energy, the calculation gives 1.327 eV per atom.

The space group is Pm-3m (No. 221) and the conventional cell measures 4.493, 4.493 and 4.493 Å, with angles of 90.00, 90.00 and 90.00 degrees. Symmetry generates all atoms from Tc at (0.000, 0.000, 0.000), Ru at (0.000, 0.500, 0.500) and Se at (0.500, 0.500, 0.500).

---

[4]
DFT (PBE) results for an optimized crystal structure of TaTc4Se.

For the raw formation energy, the calculation gives 0.412 eV per atom.

The space group is F-43m (No. 216) and the conventional cell measures 7.319, 7.319 and 7.319 Å, with angles of 90.00, 90.00 and 90.00 degrees. Symmetry generates all atoms from Ta at (0.000, 0.000, 0.000), Tc at (0.125, 0.125, 0.625) and Se at (0.250, 0.250, 0.250).

---

Number 1: E_tot -103.5 eV/cell, calculated density 5.35 g/cm³. Number 2: E_tot -207.9 eV/cell, calculated density 9.05 g/cm³. Number 3: E_tot -35.0 eV/cell, calculated density 8.79 g/cm³. Number 4: E_tot -217.3 eV/cell, calculated density 11.04 g/cm³.